Version i
AcYPu: optimized geometry, PBE.

abc: 5.3992 5.3992 5.3992
angles: 60.00 60.00 60.00
Sites, in units of the cell vectors:
1 Pu 0.7500 0.7500 0.7500
2 Y 0.0000 0.0000 0.0000
3 Ac 0.2500 0.2500 0.2500

Calculated values
SG: F-43m



Version ii
AcYPu: optimized geometry, PBE.

abc: 5.4540 5.4540 5.4540
angles: 60.00 60.00 60.00
Sites, in units of the cell vectors:
1 Y 0.7500 0.7500 0.7500
2 Ac 0.0000 0.0000 0.0000
3 Pu 0.2500 0.2500 0.2500

Calculated values
SG: F-43m



Here are the energies relative to the best structure, in meV per atom: version i 0; version ii 50.